[1]
A relaxed SrTl4Pd4 crystal, computed with PBE-GGA.

Space-group type ... P4_2/nmc (137)
Distance to the lowest polymorph of the same formula ... 0.0 meV per atom

abc: 6.4578 6.4578 9.9676
angles: 90.00 90.00 90.00
With the nearest neighbours (Å) after each atom.
Element x y z (fractional)
Sr: 0.2500 0.7500 0.2500  4 Tl 3.46, 8 Pd 3.60
Sr: 0.7500 0.2500 0.7500  4 Tl 3.46, 8 Pd 3.60
Tl: 0.0196 0.2500 0.0504  5 Pd 2.79-2.98, 1 Tl 2.98
Tl: 0.2500 0.0196 0.5504  5 Pd 2.79-2.98, 1 Tl 2.98
Tl: 0.2500 0.4804 0.5504  5 Pd 2.79-2.98, 1 Tl 2.98
Tl: 0.4804 0.2500 0.0504  5 Pd 2.79-2.98, 1 Tl 2.98
Tl: 0.5196 0.7500 0.9496  5 Pd 2.79-2.98, 1 Tl 2.98
Tl: 0.7500 0.5196 0.4496  5 Pd 2.79-2.98, 1 Tl 2.98
Tl: 0.7500 0.9804 0.4496  5 Pd 2.79-2.98, 1 Tl 2.98
Tl: 0.9804 0.7500 0.9496  5 Pd 2.79-2.98, 1 Tl 2.98
Pd: 0.0380 0.2500 0.3303  1 Pd 2.74, 5 Tl 2.79-2.98
Pd: 0.2500 0.0380 0.8303  1 Pd 2.74, 5 Tl 2.79-2.98
Pd: 0.2500 0.4620 0.8303  1 Pd 2.74, 5 Tl 2.79-2.98
Pd: 0.4620 0.2500 0.3303  1 Pd 2.74, 5 Tl 2.79-2.98
Pd: 0.5380 0.7500 0.6697  1 Pd 2.74, 5 Tl 2.79-2.98
Pd: 0.7500 0.5380 0.1697  1 Pd 2.74, 5 Tl 2.79-2.98
Pd: 0.7500 0.9620 0.1697  1 Pd 2.74, 5 Tl 2.79-2.98
Pd: 0.9620 0.7500 0.6697  1 Pd 2.74, 5 Tl 2.79-2.98

---

[2]
A relaxed SrTl6Pd12 crystal, computed with PBE-GGA.

Total DFT energy (no corrections) ... -4.25 eV per atom
Space-group type ... R-3m (166)

abc: 7.6595 7.6595 7.6595
angles: 105.13 105.13 105.13
With the nearest neighbours (Å) after each atom.
Element x y z (fractional)
Sr: 0.0000 0.0000 0.0000  6 Pd 3.18
Tl: 0.2834 0.2834 0.7070  8 Pd 2.70-3.01
Tl: 0.2834 0.7070 0.2834  8 Pd 2.70-3.01
Tl: 0.2930 0.7166 0.7166  8 Pd 2.70-3.01
Tl: 0.7070 0.2834 0.2834  8 Pd 2.70-3.01
Tl: 0.7166 0.2930 0.7166  8 Pd 2.70-3.01
Tl: 0.7166 0.7166 0.2930  8 Pd 2.70-3.01
Pd: 0.1119 0.5000 0.8881  4 Tl 2.70-2.78, 3 Pd 2.72-2.92
Pd: 0.1119 0.8881 0.5000  4 Tl 2.70-2.78, 3 Pd 2.72-2.92
Pd: 0.1345 0.3744 0.3744  4 Tl 2.85-3.01, 4 Pd 2.92, 1 Sr 3.18
Pd: 0.3744 0.1345 0.3744  4 Tl 2.85-3.01, 4 Pd 2.92, 1 Sr 3.18
Pd: 0.3744 0.3744 0.1345  4 Tl 2.85-3.01, 4 Pd 2.92, 1 Sr 3.18
Pd: 0.5000 0.1119 0.8881  4 Tl 2.70-2.78, 3 Pd 2.72-2.92
Pd: 0.5000 0.8881 0.1119  4 Tl 2.70-2.78, 3 Pd 2.72-2.92
Pd: 0.6256 0.6256 0.8655  4 Tl 2.85-3.01, 4 Pd 2.92, 1 Sr 3.18
Pd: 0.6256 0.8655 0.6256  4 Tl 2.85-3.01, 4 Pd 2.92, 1 Sr 3.18
Pd: 0.8655 0.6256 0.6256  4 Tl 2.85-3.01, 4 Pd 2.92, 1 Sr 3.18
Pd: 0.8881 0.1119 0.5000  4 Tl 2.70-2.78, 3 Pd 2.72-2.92
Pd: 0.8881 0.5000 0.1119  4 Tl 2.70-2.78, 3 Pd 2.72-2.92

---

[3]
A relaxed SrTl6Pd4 crystal, computed with PBE-GGA.

Total DFT energy (no corrections) ... -3.59 eV per atom
Space-group type ... I-42m (121)

abc: 7.2908 7.2908 7.2908
angles: 120.36 120.36 89.37
With the nearest neighbours (Å) after each atom.
Element x y z (fractional)
Sr: 0.0000 0.0000 0.0000  4 Pd 3.45, 8 Tl 3.53-3.63
Tl: 0.0000 0.5000 0.5000  4 Pd 2.79
Tl: 0.1137 0.4697 0.0000  4 Pd 2.75-2.91
Tl: 0.4697 0.1137 0.0000  4 Pd 2.75-2.91
Tl: 0.5000 0.0000 0.5000  4 Pd 2.79
Tl: 0.5303 0.5303 0.6440  4 Pd 2.75-2.91
Tl: 0.8863 0.8863 0.3560  4 Pd 2.75-2.91
Pd: 0.2563 0.2563 0.6571  6 Tl 2.75-2.91, 2 Pd 2.90
Pd: 0.4009 0.7437 0.0000  6 Tl 2.75-2.91, 2 Pd 2.90
Pd: 0.5991 0.5991 0.3429  6 Tl 2.75-2.91, 2 Pd 2.90
Pd: 0.7437 0.4009 0.0000  6 Tl 2.75-2.91, 2 Pd 2.90

---

[4]
A relaxed Sr2Tl4Pd3 crystal, computed with PBE-GGA.

Total DFT energy (no corrections) ... -3.56 eV per atom
Space-group type ... Fmmm (69)

abc: 8.9950 7.9793 5.9151
angles: 79.16 60.61 40.23
With the nearest neighbours (Å) after each atom.
Element x y z (fractional)
Sr: 0.1213 0.1213 0.8787  6 Pd 3.46-3.48, 8 Tl 3.47-3.67, 1 Sr 3.59
Sr: 0.8787 0.8787 0.1213  6 Pd 3.46-3.48, 8 Tl 3.47-3.67, 1 Sr 3.59
Tl: 0.1765 0.5065 0.4935  3 Pd 2.89-2.91, 1 Tl 3.22
Tl: 0.4935 0.8235 0.1765  3 Pd 2.89-2.91, 1 Tl 3.22
Tl: 0.5065 0.1765 0.8235  3 Pd 2.89-2.91, 1 Tl 3.22
Tl: 0.8235 0.4935 0.5065  3 Pd 2.89-2.91, 1 Tl 3.22
Pd: 0.0000 0.0000 0.5000  4 Tl 2.91, 4 Pd 2.96-2.98
Pd: 0.5000 0.5000 0.0000  4 Tl 2.91, 4 Pd 2.96-2.98
Pd: 0.5000 0.5000 0.5000  4 Tl 2.89, 4 Pd 2.96

---

[5]
A relaxed SrTlPd3 crystal, computed with PBE-GGA.

Space-group type ... Imma (74)
Distance to the lowest polymorph of the same formula ... 0.0 meV per atom

abc: 6.8468 6.8468 6.8468
angles: 130.64 109.83 90.54
With the nearest neighbours (Å) after each atom.
Element x y z (fractional)
Sr: 0.2525 0.0025 0.2500  5 Pd 2.94-3.18
Sr: 0.7475 0.9975 0.7500  5 Pd 2.94-3.18
Tl: 0.0000 0.5000 0.5000  6 Pd 2.74-2.83
Tl: 0.5000 0.5000 0.0000  6 Pd 2.74-2.83
Pd: 0.0523 0.3023 0.7500  2 Tl 2.74, 6 Pd 2.83-3.03, 1 Sr 2.94
Pd: 0.3038 0.0000 0.8038  5 Pd 2.83-3.09, 2 Tl 2.83
Pd: 0.3038 0.5000 0.3038  5 Pd 2.83-3.09, 2 Tl 2.83
Pd: 0.6962 0.0000 0.1962  5 Pd 2.83-3.09, 2 Tl 2.83
Pd: 0.6962 0.5000 0.6962  5 Pd 2.83-3.09, 2 Tl 2.83
Pd: 0.9477 0.6977 0.2500  2 Tl 2.74, 6 Pd 2.83-3.03, 1 Sr 2.94

---

[6]
A relaxed Sr2Tl3Pd5 crystal, computed with PBE-GGA.

Total DFT energy (no corrections) ... -4.04 eV per atom
Space-group type ... Ibam (72)

abc: 9.3631 9.3631 9.3631
angles: 105.18 87.48 141.46
With the nearest neighbours (Å) after each atom.
Element x y z (fractional)
Sr: 0.1265 0.2367 0.3632  8 Pd 3.28-3.63, 3 Tl 3.47-3.60
Sr: 0.3735 0.7367 0.1101  8 Pd 3.28-3.63, 3 Tl 3.47-3.60
Sr: 0.6265 0.2633 0.8899  8 Pd 3.28-3.63, 3 Tl 3.47-3.60
Sr: 0.8735 0.7633 0.6368  8 Pd 3.28-3.63, 3 Tl 3.47-3.60
Tl: 0.1462 0.9006 0.0468  5 Pd 2.70-2.75
Tl: 0.2500 0.7500 0.5000  6 Pd 2.81-2.88, 2 Tl 3.09
Tl: 0.3538 0.4006 0.7544  5 Pd 2.70-2.75
Tl: 0.6462 0.5994 0.2456  5 Pd 2.70-2.75
Tl: 0.7500 0.2500 0.5000  6 Pd 2.81-2.88, 2 Tl 3.09
Tl: 0.8538 0.0994 0.9532  5 Pd 2.70-2.75
Pd: 0.0425 0.7500 0.2925  3 Tl 2.75-2.81, 2 Pd 2.77
Pd: 0.1118 0.6671 0.7789  3 Tl 2.70-2.88, 2 Pd 2.77
Pd: 0.2500 0.2500 0.0000  4 Tl 2.75
Pd: 0.3882 0.1671 0.5552  3 Tl 2.70-2.88, 2 Pd 2.77
Pd: 0.4575 0.7500 0.7075  3 Tl 2.75-2.81, 2 Pd 2.77
Pd: 0.5425 0.2500 0.2925  3 Tl 2.75-2.81, 2 Pd 2.77
Pd: 0.6118 0.8329 0.4448  3 Tl 2.70-2.88, 2 Pd 2.77
Pd: 0.7500 0.7500 0.0000  4 Tl 2.75
Pd: 0.8882 0.3329 0.2211  3 Tl 2.70-2.88, 2 Pd 2.77
Pd: 0.9575 0.2500 0.7075  3 Tl 2.75-2.81, 2 Pd 2.77

---

[7]
A relaxed SrTl3Pd3 crystal, computed with PBE-GGA.

Space-group type ... Pm-3n (223)
Distance to the lowest polymorph of the same formula ... 297.1 meV per atom

abc: 7.5344 7.5344 7.5344
angles: 90.00 90.00 90.00
With the nearest neighbours (Å) after each atom.
Element x y z (fractional)
Sr: 0.0000 0.0000 0.0000  12 Tl 4.21, 12 Pd 4.21
Sr: 0.5000 0.5000 0.5000  12 Tl 4.21, 12 Pd 4.21
Tl: 0.0000 0.2500 0.5000  4 Pd 2.66
Tl: 0.0000 0.7500 0.5000  4 Pd 2.66
Tl: 0.2500 0.5000 0.0000  4 Pd 2.66
Tl: 0.5000 0.0000 0.2500  4 Pd 2.66
Tl: 0.5000 0.0000 0.7500  4 Pd 2.66
Tl: 0.7500 0.5000 0.0000  4 Pd 2.66
Pd: 0.0000 0.5000 0.2500  4 Tl 2.66
Pd: 0.0000 0.5000 0.7500  4 Tl 2.66
Pd: 0.2500 0.0000 0.5000  4 Tl 2.66
Pd: 0.5000 0.2500 0.0000  4 Tl 2.66
Pd: 0.5000 0.7500 0.0000  4 Tl 2.66
Pd: 0.7500 0.0000 0.5000  4 Tl 2.66

---

[8]
A relaxed Sr5Tl4Pd crystal, computed with PBE-GGA.

Total DFT energy (no corrections) ... -2.74 eV per atom
Space-group type ... P4/mmm (123)

abc: 4.0096 4.0096 20.3160
angles: 90.00 90.00 90.00
With the nearest neighbours (Å) after each atom.
Element x y z (fractional)
Sr: 0.0000 0.0000 0.0000  8 Tl 3.55
Sr: 0.0000 0.0000 0.2056  8 Tl 3.49
Sr: 0.0000 0.0000 0.4126  4 Pd 3.35, 1 Sr 3.55, 4 Tl 3.57
Sr: 0.0000 0.0000 0.5874  4 Pd 3.35, 1 Sr 3.55, 4 Tl 3.57
Sr: 0.0000 0.0000 0.7944  8 Tl 3.49
Tl: 0.5000 0.5000 0.1054  8 Sr 3.49-3.55
Tl: 0.5000 0.5000 0.3056  8 Sr 3.49-3.57
Tl: 0.5000 0.5000 0.6944  8 Sr 3.49-3.57
Tl: 0.5000 0.5000 0.8946  8 Sr 3.49-3.55
Pd: 0.5000 0.5000 0.5000  8 Sr 3.35

---

[9]
A relaxed Sr3Tl4Pd4 crystal, computed with PBE-GGA.

Total DFT energy (no corrections) ... -3.70 eV per atom
Space-group type ... Immm (71)

abc: 8.9858 8.9858 8.9858
angles: 151.15 125.61 62.73
With the nearest neighbours (Å) after each atom.
Element x y z (fractional)
Sr: 0.0000 0.0000 0.0000  6 Pd 3.34-3.48
Sr: 0.3766 0.8766 0.5000  6 Pd 3.27-3.31, 6 Tl 3.41-3.59
Sr: 0.6234 0.1234 0.5000  6 Pd 3.27-3.31, 6 Tl 3.41-3.59
Tl: 0.0302 0.3316 0.6985  4 Pd 2.78-3.03
Tl: 0.3669 0.6684 0.6985  4 Pd 2.78-3.03
Tl: 0.6331 0.3316 0.3015  4 Pd 2.78-3.03
Tl: 0.9698 0.6684 0.3015  4 Pd 2.78-3.03
Pd: 0.2177 0.2177 0.0000  6 Tl 2.87-3.03
Pd: 0.3250 0.5000 0.8250  2 Tl 2.78, 1 Pd 2.88
Pd: 0.6750 0.5000 0.1750  2 Tl 2.78, 1 Pd 2.88
Pd: 0.7823 0.7823 0.0000  6 Tl 2.87-3.03

---

[10]
A relaxed Sr3Tl3Pd2 crystal, computed with PBE-GGA.

Total DFT energy (no corrections) ... -3.30 eV per atom
Space-group type ... Pnma (62)

abc: 8.4942 17.7015 6.2034
angles: 90.00 90.00 90.00
With the nearest neighbours (Å) after each atom.
Element x y z (fractional)
Sr: 0.0404 0.1066 0.1166  3 Pd 3.29-3.41, 7 Tl 3.44-3.61
Sr: 0.0404 0.3934 0.1166  3 Pd 3.29-3.41, 7 Tl 3.44-3.61
Sr: 0.1723 0.2500 0.6436  5 Tl 3.37-3.75, 4 Pd 3.38-3.39
Sr: 0.3277 0.7500 0.1436  5 Tl 3.37-3.75, 4 Pd 3.38-3.39
Sr: 0.4596 0.6066 0.6166  3 Pd 3.29-3.41, 7 Tl 3.44-3.61
Sr: 0.4596 0.8934 0.6166  3 Pd 3.29-3.41, 7 Tl 3.44-3.61
Sr: 0.5404 0.1066 0.3834  3 Pd 3.29-3.41, 7 Tl 3.44-3.61
Sr: 0.5404 0.3934 0.3834  3 Pd 3.29-3.41, 7 Tl 3.44-3.61
Sr: 0.6723 0.2500 0.8564  5 Tl 3.37-3.75, 4 Pd 3.38-3.39
Sr: 0.8277 0.7500 0.3564  5 Tl 3.37-3.75, 4 Pd 3.38-3.39
Sr: 0.9596 0.6066 0.8834  3 Pd 3.29-3.41, 7 Tl 3.44-3.61
Sr: 0.9596 0.8934 0.8834  3 Pd 3.29-3.41, 7 Tl 3.44-3.61
Tl: 0.1668 0.7500 0.6402  2 Pd 2.87
Tl: 0.1822 0.0383 0.6106  3 Pd 2.83-3.11
Tl: 0.1822 0.4617 0.6106  3 Pd 2.83-3.11
Tl: 0.3178 0.5383 0.1106  3 Pd 2.83-3.11
Tl: 0.3178 0.9617 0.1106  3 Pd 2.83-3.11
Tl: 0.3332 0.2500 0.1402  2 Pd 2.87
Tl: 0.6668 0.7500 0.8598  2 Pd 2.87
Tl: 0.6822 0.0383 0.8894  3 Pd 2.83-3.11
Tl: 0.6822 0.4617 0.8894  3 Pd 2.83-3.11
Tl: 0.8178 0.5383 0.3894  3 Pd 2.83-3.11
Tl: 0.8178 0.9617 0.3894  3 Pd 2.83-3.11
Tl: 0.8332 0.2500 0.3598  2 Pd 2.87
Pd: 0.1091 0.6160 0.3930  4 Tl 2.83-3.11
Pd: 0.1091 0.8840 0.3930  4 Tl 2.83-3.11
Pd: 0.3909 0.1160 0.8930  4 Tl 2.83-3.11
Pd: 0.3909 0.3840 0.8930  4 Tl 2.83-3.11
Pd: 0.6091 0.6160 0.1070  4 Tl 2.83-3.11
Pd: 0.6091 0.8840 0.1070  4 Tl 2.83-3.11
Pd: 0.8909 0.1160 0.6070  4 Tl 2.83-3.11
Pd: 0.8909 0.3840 0.6070  4 Tl 2.83-3.11